Here is Ba4In2Hg after structural relaxation from Alexandria via LeMat-Bulk. Energies are from PBE.

extended XYZ file:
```
7
Lattice="3.011 1.738 9.822 -3.011 1.738 9.822 0.000 -3.477 9.822" Properties=species:S:1:pos:R:3 pbc="T T T"
Ba 0.000 0.000 3.641
Ba 0.000 0.000 11.015
Ba 0.000 0.000 18.452
Ba 0.000 0.000 25.826
In 0.000 0.000 7.347
In 0.000 0.000 22.121
Hg 0.000 0.000 0.000
```

## Properties
As for the total energy: -16.0 eV for the cell shown. Its space group is R-3m (166). The calculation puts the formation enthalpy at 0 K at -364.7 meV per atom. For the magnetic moment, the calculation gives 0.000 μB per atom.

=====

Here is Ba2In5Hg3 after structural relaxation from Alexandria via LeMat-Bulk. Energies are from PBE.

extended XYZ file:
```
10
Lattice="4.974 0.000 0.000 0.000 4.974 0.000 0.000 0.000 12.318" Properties=species:S:1:pos:R:3 pbc="T T T"
Ba 0.000 2.487 3.042
Ba 2.487 0.000 9.276
In 0.000 0.000 6.159
In 0.000 2.487 7.850
In 2.487 0.000 4.468
In 2.487 2.487 0.000
In 2.487 2.487 6.159
Hg 0.000 0.000 0.000
Hg 0.000 2.487 10.684
Hg 2.487 0.000 1.634
```

## Properties
As for the total energy: -22.1 eV for the cell shown. Its space group is P-4m2 (115). The calculation puts the formation enthalpy at 0 K at -362.0 meV per atom. For the magnetic moment, the calculation gives 0.000 μB per atom. The offset from the most stable computed form is 1.5 kJ/mol of atoms.

=====

Here is Ba2InHg7 after structural relaxation from Alexandria via LeMat-Bulk. Energies are from PBE.

extended XYZ file:
```
10
Lattice="4.832 0.000 0.000 0.000 4.832 0.000 0.000 0.000 12.898" Properties=species:S:1:pos:R:3 pbc="T T T"
Ba 0.000 2.416 3.217
Ba 2.416 0.000 9.682
In 0.000 0.000 6.449
Hg 0.000 0.000 0.000
Hg 0.000 2.416 8.191
Hg 0.000 2.416 11.095
Hg 2.416 0.000 1.804
Hg 2.416 0.000 4.707
Hg 2.416 2.416 0.000
Hg 2.416 2.416 6.449
```

## Properties
As for the total energy: -12.2 eV for the cell shown. Its space group is P-4m2 (115). The calculation puts the formation enthalpy at 0 K at -346.7 meV per atom. For the magnetic moment, the calculation gives 0.000 μB per atom.

=====

Here is BaInHg after structural relaxation from Alexandria via LeMat-Bulk. Energies are from PBE.

extended XYZ file:
```
12
Lattice="7.925 0.000 0.000 0.000 7.925 0.000 0.000 0.000 7.925" Properties=species:S:1:pos:R:3 pbc="T T T"
Ba 0.000 0.000 0.000
Ba 0.000 3.962 3.962
Ba 3.962 0.000 3.962
Ba 3.962 3.962 0.000
In 1.981 1.981 5.944
In 1.981 5.944 1.981
In 5.944 1.981 1.981
In 5.944 5.944 5.944
Hg 1.981 1.981 1.981
Hg 1.981 5.944 5.944
Hg 5.944 1.981 5.944
Hg 5.944 5.944 1.981
```

## Properties
As for the total energy: -20.1 eV for the cell shown. Its space group is F-43m (216). The calculation puts the formation enthalpy at 0 K at -20.6 meV per atom. For the magnetic moment, the calculation gives 0.000 μB per atom.

=====

Here is Ba5InHg2 after structural relaxation from Alexandria via LeMat-Bulk. Energies are from PBE.

extended XYZ file:
```
16
Lattice="-4.721 4.721 7.822 4.721 -4.721 7.822 4.721 4.721 -7.822" Properties=species:S:1:pos:R:3 pbc="T T T"
Ba 0.000 0.000 0.000
Ba 6.277 1.556 -2.263
Ba 1.556 3.165 -2.263
Ba 6.277 1.556 2.263
Ba 1.556 3.165 2.263
Ba 0.000 0.000 7.822
Ba 3.165 1.556 5.558
Ba -1.556 3.165 5.558
Ba 3.165 1.556 10.085
Ba -1.556 3.165 10.085
In 0.000 0.000 3.911
In 0.000 0.000 11.732
Hg 3.516 1.205 0.000
Hg 3.516 -1.205 7.822
Hg 1.205 5.926 0.000
Hg 1.205 3.516 7.822
```

## Properties
As for the total energy: -31.6 eV for the cell shown. Its space group is I4/mcm (140). The calculation puts the formation enthalpy at 0 K at -355.1 meV per atom. For the magnetic moment, the calculation gives 0.094 μB per atom.

=====

Here is BaIn6Hg2 after structural relaxation from Alexandria via LeMat-Bulk. Energies are from PBE.

extended XYZ file:
```
9
Lattice="4.688 0.000 0.000 0.000 4.688 0.000 0.000 0.000 11.855" Properties=species:S:1:pos:R:3 pbc="T T T"
Ba 0.000 0.000 0.000
In 0.000 0.000 5.928
In 0.000 2.344 3.481
In 0.000 2.344 8.374
In 2.344 0.000 3.481
In 2.344 0.000 8.374
In 2.344 2.344 5.928
Hg 2.344 2.344 1.492
Hg 2.344 2.344 10.363
```

## Properties
As for the total energy: -20.5 eV for the cell shown. Its space group is P4/mmm (123). The calculation puts the formation enthalpy at 0 K at -170.1 meV per atom. For the magnetic moment, the calculation gives 0.000 μB per atom. The offset from the most stable computed form is 0.0 kJ/mol of atoms.

=====

Here is BaInHg11 after structural relaxation from Alexandria via LeMat-Bulk. Energies are from PBE.

extended XYZ file:
```
13
Lattice="3.279 -7.406 0.000 3.279 7.406 0.000 -3.179 0.000 7.499" Properties=species:S:1:pos:R:3 pbc="T T T"
Ba 0.000 0.000 0.000
In 1.690 0.000 3.749
Hg -1.590 0.000 3.749
Hg 1.640 3.703 0.000
Hg 0.048 2.608 2.639
Hg 0.091 1.606 5.892
Hg 0.048 -2.608 2.639
Hg 3.289 1.606 1.607
Hg 1.640 -3.703 0.000
Hg 0.091 -1.606 5.892
Hg 3.331 2.608 4.860
Hg 3.289 -1.606 1.607
Hg 3.331 -2.608 4.860
```

## Properties
As for the total energy: -9.6 eV for the cell shown. Its space group is C2/m (12). The calculation puts the formation enthalpy at 0 K at -120.9 meV per atom. For the magnetic moment, the calculation gives 0.000 μB per atom.

=====

Here is Ba3InHg after structural relaxation from Alexandria via LeMat-Bulk. Energies are from PBE.

extended XYZ file:
```
10
Lattice="3.041 -11.746 0.000 3.041 11.746 0.000 0.000 0.000 6.077" Properties=species:S:1:pos:R:3 pbc="T T T"
Ba 3.041 9.968 4.558
Ba 3.041 5.889 4.558
Ba 3.041 1.826 4.558
Ba 3.041 -1.826 1.519
Ba 3.041 -5.889 1.519
Ba 3.041 -9.968 1.519
In 3.041 8.016 1.519
In 3.041 -8.016 4.558
Hg 3.041 3.727 1.519
Hg 3.041 -3.727 4.558
```

## Properties
As for the total energy: -21.6 eV for the cell shown. Its space group is Cmcm (63). The calculation puts the formation enthalpy at 0 K at -399.6 meV per atom. For the magnetic moment, the calculation gives 0.000 μB per atom. The offset from the most stable computed form is 0.0 kJ/mol of atoms.

=====

Here is Ba2In12Hg7 after structural relaxation from Alexandria via LeMat-Bulk. Energies are from PBE.

extended XYZ file:
```
21
Lattice="12.043 0.000 0.000 -6.021 10.429 0.000 0.000 0.000 4.777" Properties=species:S:1:pos:R:3 pbc="T T T"
Ba 0.000 6.953 1.151
Ba 6.021 3.476 3.626
In -3.141 6.573 3.607
In -3.812 8.921 1.095
In 0.202 2.668 1.095
In 2.411 1.159 3.682
In 1.900 4.423 3.607
In 4.780 0.566 1.170
In 1.241 9.863 3.607
In 4.121 6.007 1.170
In 3.610 9.270 1.095
In 5.820 7.762 3.682
In 9.833 1.508 3.682
In 9.163 3.857 1.170
Hg 0.000 0.000 2.388
Hg -1.083 4.450 3.503
Hg -1.626 9.142 3.503
Hg 3.312 3.162 1.274
Hg 2.709 7.267 3.503
Hg 7.648 1.287 1.274
Hg 7.104 5.979 1.274
```

## Properties
As for the total energy: -42.3 eV for the cell shown. Its space group is P-3 (147). The calculation puts the formation enthalpy at 0 K at -163.9 meV per atom. For the magnetic moment, the calculation gives 0.000 μB per atom.

=====

Here is BaInHg6 after structural relaxation from Alexandria via LeMat-Bulk. Energies are from PBE.

extended XYZ file:
```
16
Lattice="5.242 0.000 0.000 0.000 7.703 0.000 0.000 0.000 11.511" Properties=species:S:1:pos:R:3 pbc="T T T"
Ba 0.000 0.000 0.000
Ba 0.000 3.852 5.756
In 2.621 0.000 8.499
In 2.621 3.852 2.743
Hg 0.000 0.000 6.432
Hg 0.000 1.637 3.127
Hg 0.000 2.214 8.883
Hg 0.000 3.852 0.676
Hg 0.000 5.489 8.883
Hg 0.000 6.066 3.127
Hg 2.621 0.000 2.306
Hg 2.621 1.567 5.308
Hg 2.621 2.284 11.063
Hg 2.621 3.852 8.061
Hg 2.621 5.419 11.063
Hg 2.621 6.136 5.308
```

## Properties
As for the total energy: -16.3 eV for the cell shown. Its space group is Amm2 (38). The calculation puts the formation enthalpy at 0 K at -209.9 meV per atom. For the magnetic moment, the calculation gives 0.000 μB per atom. The offset from the most stable computed form is 1.2 kJ/mol of atoms.